i.
An optimized crystal structure of TaCd2Pt. Source: Alexandria, functional GGA-PBE.

Output
M_tot   0.00 Bohr magnetons per cell

Cell lengths 2.956, 2.956, 8.564 Å; angles 90.00, 90.00, 90.00 degrees
Positions (direct):
1 Ta 0.000 0.000 0.000
2 Cd 0.000 0.000 0.542
3 Cd 0.500 0.500 0.259
4 Pt 0.500 0.500 0.788


ii.
An optimized crystal structure of TaCd2Pt. Source: Alexandria, functional GGA-PBE.

Output
M_tot   0.00 Bohr magnetons per cell

Cell lengths 2.936, 4.956, 5.103 Å; angles 90.00, 90.00, 90.00 degrees
Positions (direct):
1 Ta 0.000 0.000 0.000
2 Cd 0.000 0.500 0.500
3 Cd 0.500 0.000 0.500
4 Pt 0.500 0.500 0.000


List of relative energies, unit meV per atom: i 0; ii 230


i.
An optimized crystal structure of TaCd2Pt. Source: Alexandria, functional GGA-PBE.

Output
M_tot   0.00 Bohr magnetons per cell

Cell lengths 2.864, 4.894, 5.277 Å; angles 90.00, 96.26, 90.00 degrees
Positions (direct):
1 Ta 0.000 0.000 0.000
2 Cd 0.323 0.500 0.746
3 Cd 0.677 0.500 0.254
4 Pt 0.500 0.000 0.500


ii.
An optimized crystal structure of TaCd2Pt. Source: Alexandria, functional GGA-PBE.

Output
M_tot   0.00 Bohr magnetons per cell

Cell lengths 9.897, 9.897, 9.897 Å; angles 17.20, 17.20, 17.20 degrees
Positions (direct):
1 Ta 0.000 0.000 0.000
2 Cd 0.246 0.246 0.246
3 Cd 0.754 0.754 0.754
4 Pt 0.500 0.500 0.500


List of relative energies, unit meV per atom: i 0; ii 53


i.
An optimized crystal structure of TaCd2Pt. Source: Alexandria, functional GGA-PBE.

Output
M_tot   0.00 Bohr magnetons per cell

Cell lengths 6.119, 6.119, 6.119 Å; angles 101.24, 101.24, 127.61 degrees
Positions (direct):
1 Ta 0.000 0.000 0.000
2 Ta 0.750 0.250 0.500
3 Cd 0.143 0.125 0.518
4 Cd 0.375 0.857 0.982
5 Cd 0.607 0.625 0.482
6 Cd 0.875 0.393 0.018
7 Pt 0.250 0.750 0.500
8 Pt 0.500 0.500 0.000


ii.
An optimized crystal structure of TaCd2Pt. Source: Alexandria, functional GGA-PBE.

Output
M_tot   0.00 Bohr magnetons per cell

Cell lengths 5.071, 5.071, 2.902 Å; angles 90.00, 90.00, 90.00 degrees
Positions (direct):
1 Ta 0.000 0.000 0.000
2 Cd 0.000 0.500 0.500
3 Cd 0.500 0.000 0.500
4 Pt 0.500 0.500 0.000


List of relative energies, unit meV per atom: i 161; ii 0


i.
An optimized crystal structure of Ta2CdPt2. Source: Alexandria, functional GGA-PBE.

Output
M_tot   0.00 Bohr magnetons per cell

Cell lengths 8.113, 8.113, 2.805 Å; angles 90.00, 90.00, 90.00 degrees
Positions (direct):
1 Ta 0.123 0.377 0.000
2 Ta 0.377 0.877 0.000
3 Ta 0.623 0.123 0.000
4 Ta 0.877 0.623 0.000
5 Cd 0.000 0.000 0.000
6 Cd 0.500 0.500 0.000
7 Pt 0.169 0.669 0.500
8 Pt 0.331 0.169 0.500
9 Pt 0.669 0.831 0.500
10 Pt 0.831 0.331 0.500


ii.
An optimized crystal structure of Ta2CdPt2. Source: Alexandria, functional GGA-PBE.

Output
M_tot   0.00 Bohr magnetons per cell

Cell lengths 7.928, 7.928, 2.870 Å; angles 90.00, 90.00, 90.00 degrees
Positions (direct):
1 Ta 0.168 0.332 0.000
2 Ta 0.332 0.832 0.000
3 Ta 0.668 0.168 0.000
4 Ta 0.832 0.668 0.000
5 Cd 0.000 0.000 0.500
6 Cd 0.500 0.500 0.500
7 Pt 0.126 0.626 0.500
8 Pt 0.374 0.126 0.500
9 Pt 0.626 0.874 0.500
10 Pt 0.874 0.374 0.500


List of relative energies, unit meV per atom: i 103; ii 0


i.
An optimized crystal structure of Tb2CdPt. Source: Alexandria, functional GGA-PBE.

Output
M_tot   0.00 Bohr magnetons per cell

Cell lengths 8.174, 8.174, 8.174 Å; angles 28.70, 28.70, 28.70 degrees
Positions (direct):
1 Tb 0.234 0.234 0.234
2 Tb 0.766 0.766 0.766
3 Cd 0.000 0.000 0.000
4 Pt 0.500 0.500 0.500


ii.
An optimized crystal structure of Tb2CdPt. Source: Alexandria, functional GGA-PBE.

Output
M_tot   0.00 Bohr magnetons per cell

Cell lengths 3.610, 3.610, 7.360 Å; angles 90.00, 90.00, 90.00 degrees
Positions (direct):
1 Tb 0.000 0.000 0.224
2 Tb 0.000 0.000 0.776
3 Cd 0.500 0.500 0.500
4 Pt 0.500 0.500 0.000


iii.
An optimized crystal structure of Tb2CdPt. Source: Alexandria, functional GGA-PBE.

Output
M_tot   0.00 Bohr magnetons per cell

Cell lengths 5.114, 5.114, 5.114 Å; angles 60.00, 60.00, 60.00 degrees
Positions (direct):
1 Tb 0.250 0.250 0.250
2 Tb 0.750 0.750 0.750
3 Cd 0.000 0.000 0.000
4 Pt 0.500 0.500 0.500


List of relative energies, unit meV per atom: i 110; ii 0; iii 64


i.
An optimized crystal structure of Tb2CdPt9. Source: Alexandria, functional GGA-PBE.

Output
M_tot   0.00 Bohr magnetons per cell

Cell lengths 4.108, 4.108, 12.268 Å; angles 90.00, 90.00, 90.00 degrees
Positions (direct):
1 Tb 0.000 0.000 0.170
2 Tb 0.000 0.000 0.830
3 Cd 0.000 0.000 0.500
4 Pt 0.000 0.500 0.000
5 Pt 0.000 0.500 0.338
6 Pt 0.000 0.500 0.662
7 Pt 0.500 0.000 0.000
8 Pt 0.500 0.000 0.338
9 Pt 0.500 0.000 0.662
10 Pt 0.500 0.500 0.169
11 Pt 0.500 0.500 0.500
12 Pt 0.500 0.500 0.831


ii.
An optimized crystal structure of Tb2CdPt9. Source: Alexandria, functional GGA-PBE.

Output
M_tot   0.00 Bohr magnetons per cell

Cell lengths 9.375, 9.375, 9.375 Å; angles 33.51, 33.51, 33.51 degrees
Positions (direct):
1 Tb 0.137 0.137 0.137
2 Tb 0.863 0.863 0.863
3 Cd 0.000 0.000 0.000
4 Pt 0.081 0.588 0.588
5 Pt 0.333 0.333 0.333
6 Pt 0.412 0.412 0.919
7 Pt 0.412 0.919 0.412
8 Pt 0.500 0.500 0.500
9 Pt 0.588 0.081 0.588
10 Pt 0.588 0.588 0.081
11 Pt 0.667 0.667 0.667
12 Pt 0.919 0.412 0.412


List of relative energies, unit meV per atom: i 0; ii 66


i.
An optimized crystal structure of Cd2Te2Pt. Source: Alexandria, functional GGA-PBE.

Output
M_tot   0.00 Bohr magnetons per cell

Cell lengths 7.479, 7.479, 4.335 Å; angles 90.00, 90.00, 90.00 degrees
Positions (direct):
1 Cd 0.138 0.362 0.000
2 Cd 0.362 0.862 0.000
3 Cd 0.638 0.138 0.000
4 Cd 0.862 0.638 0.000
5 Te 0.180 0.680 0.500
6 Te 0.320 0.180 0.500
7 Te 0.680 0.820 0.500
8 Te 0.820 0.320 0.500
9 Pt 0.000 0.000 0.000
10 Pt 0.500 0.500 0.000


ii.
An optimized crystal structure of Cd2Te2Pt. Source: Alexandria, functional GGA-PBE.

Output
M_tot   0.00 Bohr magnetons per cell

Cell lengths 7.654, 7.654, 4.520 Å; angles 90.00, 90.00, 90.00 degrees
Positions (direct):
1 Cd 0.131 0.369 0.000
2 Cd 0.369 0.869 0.000
3 Cd 0.631 0.131 0.000
4 Cd 0.869 0.631 0.000
5 Te 0.198 0.698 0.500
6 Te 0.302 0.198 0.500
7 Te 0.698 0.802 0.500
8 Te 0.802 0.302 0.500
9 Pt 0.000 0.000 0.500
10 Pt 0.500 0.500 0.500


List of relative energies, unit meV per atom: i 243; ii 0


i.
An optimized crystal structure of CdTePt2. Source: Alexandria, functional GGA-PBE.

Output
M_tot   0.00 Bohr magnetons per cell

Cell lengths 7.268, 7.268, 7.268 Å; angles 31.29, 31.29, 31.29 degrees
Positions (direct):
1 Cd 0.000 0.000 0.000
2 Te 0.210 0.210 0.210
3 Pt 0.478 0.478 0.478
4 Pt 0.743 0.743 0.743


ii.
An optimized crystal structure of CdTePt2. Source: Alexandria, functional GGA-PBE.

Output
M_tot   0.00 Bohr magnetons per cell

Cell lengths 4.651, 4.651, 3.516 Å; angles 90.00, 90.00, 90.15 degrees
Positions (direct):
1 Cd 0.000 0.000 0.000
2 Te 0.500 0.500 0.000
3 Pt 0.000 0.500 0.500
4 Pt 0.500 0.000 0.500


iii.
An optimized crystal structure of CdTePt2. Source: Alexandria, functional GGA-PBE.

Output
M_tot   0.00 Bohr magnetons per cell

Cell lengths 3.741, 3.741, 5.665 Å; angles 90.00, 90.00, 90.00 degrees
Positions (direct):
1 Cd 0.000 0.000 0.000
2 Te 0.500 0.500 0.636
3 Pt 0.000 0.000 0.490
4 Pt 0.500 0.500 0.169


List of relative energies, unit meV per atom: i 62; ii 52; iii 0


i.
An optimized crystal structure of CdTePt2. Source: Alexandria, functional GGA-PBE.

Output
M_tot   0.00 Bohr magnetons per cell

Cell lengths 2.976, 4.986, 5.331 Å; angles 90.00, 90.03, 90.00 degrees
Positions (direct):
1 Cd 0.000 0.000 0.000
2 Te 0.499 0.500 0.627
3 Pt 0.500 0.000 0.465
4 Pt 0.500 0.500 0.122


ii.
An optimized crystal structure of CdTePt2. Source: Alexandria, functional GGA-PBE.

Output
M_tot   0.00 Bohr magnetons per cell

Cell lengths 9.349, 9.349, 9.349 Å; angles 152.80, 152.80, 38.84 degrees
Positions (direct):
1 Cd 0.000 0.000 0.000
2 Cd 0.750 0.250 0.500
3 Te 0.250 0.750 0.500
4 Te 0.500 0.500 0.000
5 Pt 0.150 0.625 0.025
6 Pt 0.375 0.400 0.525
7 Pt 0.600 0.125 0.975
8 Pt 0.875 0.850 0.475


iii.
An optimized crystal structure of CdTePt2. Source: Alexandria, functional GGA-PBE.

Output
M_tot   0.00 Bohr magnetons per cell

Cell lengths 4.756, 4.756, 4.756 Å; angles 60.00, 60.00, 60.00 degrees
Positions (direct):
1 Cd 0.000 0.000 0.000
2 Te 0.500 0.500 0.500
3 Pt 0.250 0.250 0.250
4 Pt 0.750 0.750 0.750


iv.
An optimized crystal structure of CdTePt2. Source: Alexandria, functional GGA-PBE.

Output
M_tot   0.00 Bohr magnetons per cell

Cell lengths 4.783, 4.783, 4.783 Å; angles 60.00, 60.00, 60.00 degrees
Positions (direct):
1 Cd 0.000 0.000 0.000
2 Te 0.250 0.250 0.250
3 Pt 0.500 0.500 0.500
4 Pt 0.750 0.750 0.750


List of relative energies, unit meV per atom: i 0; ii 94; iii 105; iv 290


i.
An optimized crystal structure of Cd2TePt2. Source: Alexandria, functional GGA-PBE.

Output
M_tot   0.00 Bohr magnetons per cell

Cell lengths 7.320, 7.320, 7.320 Å; angles 149.07, 149.07, 44.30 degrees
Positions (direct):
1 Cd 0.250 0.750 0.500
2 Cd 0.750 0.250 0.500
3 Te 0.000 0.000 0.000
4 Pt 0.402 0.402 0.000
5 Pt 0.598 0.598 0.000


ii.
An optimized crystal structure of Cd2TePt2. Source: Alexandria, functional GGA-PBE.

Output
M_tot   0.00 Bohr magnetons per cell

Cell lengths 7.985, 7.985, 3.134 Å; angles 90.00, 90.00, 90.00 degrees
Positions (direct):
1 Cd 0.131 0.369 0.000
2 Cd 0.369 0.869 0.000
3 Cd 0.631 0.131 0.000
4 Cd 0.869 0.631 0.000
5 Te 0.000 0.000 0.500
6 Te 0.500 0.500 0.500
7 Pt 0.167 0.667 0.500
8 Pt 0.333 0.167 0.500
9 Pt 0.667 0.833 0.500
10 Pt 0.833 0.333 0.500


List of relative energies, unit meV per atom: i 153; ii 0


i.
An optimized crystal structure of CdTePt3. Source: Alexandria, functional GGA-PBE.

Output
M_tot   0.00 Bohr magnetons per cell

Cell lengths 4.946, 4.946, 4.946 Å; angles 90.00, 90.00, 90.00 degrees
Positions (direct):
1 Cd 0.000 0.000 0.000
2 Te 0.500 0.500 0.500
3 Pt 0.000 0.000 0.500
4 Pt 0.000 0.500 0.000
5 Pt 0.500 0.000 0.000


ii.
An optimized crystal structure of CdTePt3. Source: Alexandria, functional GGA-PBE.

Output
M_tot   0.00 Bohr magnetons per cell

Cell lengths 4.963, 4.963, 4.963 Å; angles 90.00, 90.00, 90.00 degrees
Positions (direct):
1 Cd 0.000 0.000 0.000
2 Te 0.500 0.500 0.500
3 Pt 0.000 0.500 0.500
4 Pt 0.500 0.000 0.500
5 Pt 0.500 0.500 0.000


List of relative energies, unit meV per atom: i 530; ii 0